w:
DFT (PBE-GGA) results for a relaxed HgPOsCl2 crystal.

Calculated values
Space group: No. 123

Structure (POSCAR):
```
HgPOsCl2
1.0
-2.426 -0.570 4.428
4.151 -2.144 1.999
1.689 4.697 1.530
P Os Hg Cl
1 1 1 2
direct
0.000 0.000 0.500
0.500 0.500 0.500
0.000 0.000 0.000
0.000 0.500 0.000
0.500 0.000 0.000
```

***

x:
DFT (PBE-GGA) results for a relaxed HgPOsCl2 crystal.

Calculated values
Space group: No. 123

Structure (POSCAR):
```
HgPOsCl2
1.0
4.972 0.000 0.000
0.000 4.972 0.000
0.000 0.000 4.543
P Os Hg Cl
1 1 1 2
direct
0.000 0.000 0.500
0.000 0.000 0.000
0.500 0.500 0.500
0.000 0.500 0.000
0.500 0.000 0.000
```

***

x wins, 126.7 kJ/mol of atoms ahead of the next structure.

***

w:
DFT (PBE-GGA) results for a relaxed HgPCl2 crystal.

Calculated values
Space group: No. 123

Structure (POSCAR):
```
HgPCl2
1.0
4.603 0.000 0.000
0.000 4.603 0.000
0.000 0.000 4.026
Cl Hg P
2 1 1
direct
0.000 0.000 0.000
0.500 0.500 0.000
0.500 0.000 0.500
0.000 0.500 0.500
```

***

x:
DFT (PBE-GGA) results for a relaxed HgPCl2 crystal.

Calculated values
Space group: No. 99

Structure (POSCAR):
```
HgPCl2
1.0
3.295 0.000 0.000
0.000 3.295 0.000
0.000 0.000 8.399
Cl Hg P
2 1 1
direct
0.000 0.000 0.922
0.500 0.500 0.316
0.000 0.000 0.518
0.500 0.500 0.744
```

***

y:
DFT (PBE-GGA) results for a relaxed HgPCl2 crystal.

Calculated values
Space group: No. 166

Structure (POSCAR):
```
HgPCl2
1.0
1.387 9.844 1.914
4.229 9.191 0.380
1.536 9.912 -1.376
P Hg Cl
1 1 2
direct
0.000 0.000 0.000
0.500 0.500 0.500
0.927 0.927 0.927
0.073 0.073 0.073
```

***

y wins, 22.7 kJ/mol of atoms ahead of the next structure.

***

w:
DFT (PBE-GGA) results for a relaxed Hg3P2Cl2 crystal.

Calculated values
Space group: No. 14

Structure (POSCAR):
```
Hg3P2Cl2
1.0
10.783 0.000 0.000
0.000 12.026 0.035
0.000 -3.963 12.260
Cl Hg P
16 24 16
direct
0.489 0.148 0.175
0.989 0.352 0.825
0.511 0.852 0.825
0.011 0.648 0.175
0.211 0.383 0.173
0.711 0.117 0.827
0.789 0.617 0.827
0.289 0.883 0.173
0.317 0.694 0.351
0.817 0.806 0.649
0.683 0.306 0.649
0.183 0.194 0.351
0.713 0.694 0.335
0.213 0.806 0.665
0.287 0.306 0.665
0.787 0.194 0.335
0.252 0.464 0.398
0.752 0.036 0.602
0.748 0.536 0.602
0.248 0.964 0.398
0.454 0.249 0.502
0.954 0.251 0.498
0.546 0.751 0.498
0.046 0.749 0.502
0.579 0.972 0.262
0.079 0.528 0.738
0.421 0.028 0.738
0.921 0.472 0.262
0.606 0.380 0.283
0.106 0.120 0.717
0.394 0.620 0.717
0.894 0.880 0.283
0.715 0.652 0.074
0.215 0.848 0.926
0.285 0.348 0.926
0.785 0.152 0.074
0.237 0.131 0.146
0.737 0.369 0.854
0.763 0.869 0.854
0.263 0.631 0.146
0.642 0.449 0.033
0.142 0.051 0.967
0.358 0.551 0.967
0.858 0.949 0.033
0.746 0.869 0.136
0.246 0.631 0.864
0.254 0.131 0.864
0.754 0.369 0.136
0.465 0.422 0.438
0.965 0.078 0.562
0.535 0.578 0.562
0.035 0.922 0.438
0.462 0.034 0.437
0.962 0.466 0.563
0.538 0.966 0.563
0.038 0.534 0.437
```

***

x:
DFT (PBE-GGA) results for a relaxed Hg3P2Cl2 crystal.

Calculated values
Space group: No. 14

Structure (POSCAR):
```
Hg3P2Cl2
1.0
8.037 0.000 0.000
0.000 6.772 -0.020
0.000 2.092 6.881
P Hg Cl
4 6 4
direct
0.130 0.660 0.054
0.630 0.340 0.446
0.870 0.340 0.946
0.370 0.660 0.554
0.000 0.000 0.000
0.500 0.000 0.500
0.400 0.558 0.235
0.900 0.442 0.265
0.600 0.442 0.765
0.100 0.558 0.735
0.108 0.227 0.560
0.608 0.773 0.940
0.892 0.773 0.440
0.392 0.227 0.060
```

***

w wins, 24.4 kJ/mol of atoms ahead of the next structure.

***

w:
DFT (PBE-GGA) results for a relaxed HgP2Cl crystal.

Calculated values
Space group: No. 35

Structure (POSCAR):
```
HgP2Cl
1.0
-1.272 4.356 0.038
-2.052 -4.045 0.148
0.497 0.068 8.781
Cl Hg P
1 1 2
direct
0.000 0.000 0.532
0.500 0.500 0.761
0.000 0.000 0.026
0.500 0.500 0.181
```

***

x:
DFT (PBE-GGA) results for a relaxed HgP2Cl crystal.

Calculated values
Space group: No. 44

Structure (POSCAR):
```
HgP2Cl
1.0
8.385 0.091 -0.013
6.832 4.862 0.013
-7.477 -2.880 2.473
Cl Hg P
1 1 2
direct
0.589 0.589 0.000
0.201 0.701 0.500
0.900 0.900 0.000
0.811 0.311 0.500
```

***

x wins, 7.3 kJ/mol of atoms ahead of the next structure.

***

w:
DFT (PBE-GGA) results for a relaxed HgP2Cl crystal.

Calculated values
Space group: No. 99

Structure (POSCAR):
```
HgP2Cl
1.0
3.241 0.000 0.000
0.000 3.241 0.000
0.000 0.000 9.615
Cl Hg P
1 1 2
direct
0.000 0.000 0.414
0.500 0.500 0.756
0.000 0.000 0.199
0.500 0.500 0.131
```

***

x:
DFT (PBE-GGA) results for a relaxed HgP2Cl crystal.

Calculated values
Space group: No. 123

Structure (POSCAR):
```
HgP2Cl
1.0
-5.716 3.903 1.793
0.752 -0.513 3.514
2.046 2.998 0.000
Cl Hg P
1 1 2
direct
0.500 0.500 0.000
0.500 0.000 0.500
0.000 0.000 0.000
0.000 0.500 0.500
```

***

y:
DFT (PBE-GGA) results for a relaxed HgP2Cl crystal.

Calculated values
Space group: No. 12

Structure (POSCAR):
```
HgP2Cl
1.0
4.702 0.018 0.006
-1.319 4.513 0.006
1.681 2.251 3.764
Cl Hg P
1 1 2
direct
0.500 0.000 0.500
0.000 0.500 0.500
0.000 0.000 0.000
0.500 0.500 0.000
```

***

w wins, 47.1 kJ/mol of atoms ahead of the next structure.

***

w:
DFT (PBE-GGA) results for a relaxed HgP2Cl crystal.

Calculated values
Space group: No. 12

Structure (POSCAR):
```
HgP2Cl
1.0
7.591 0.100 -0.071
6.853 3.265 -0.071
0.969 0.226 4.536
Cl Hg P
1 1 2
direct
0.750 0.750 0.750
0.250 0.250 0.250
0.973 0.973 0.141
0.527 0.527 0.359
```

***

x:
DFT (PBE-GGA) results for a relaxed HgP2Cl crystal.

Calculated values
Space group: No. 47

Structure (POSCAR):
```
HgP2Cl
1.0
-0.347 0.174 -3.144
-4.054 -3.526 0.252
-2.939 3.416 0.513
Cl Hg P
1 1 2
direct
0.500 0.000 0.500
0.000 0.500 0.500
0.000 0.000 0.000
0.500 0.500 0.000
```

***

w wins, 49.8 kJ/mol of atoms ahead of the next structure.